## Li5Ni5O9F (PBE with a Hubbard U)

Data for an optimized crystal structure of Li5Ni5O9F.

Properties
Its crystal system is triclinic. As for the energy: -4.836 eV/atom. For the total magnetization, the calculation gives 6.00 μB/f.u. The space group is P1.

a b c (Å): 5.0172 5.8176 6.6346
angles (deg): 102.86 98.60 107.18
Last column: nearest neighbours and their distance in Å.
Atoms (fractional coordinates):
1 Li 0.0000 0.0000 0.0000  1 F 2.06, 5 O 2.08-2.22
2 Li 0.1748 0.4071 0.3986  6 O 2.09-2.27
3 Li 0.3814 0.7901 0.7968  5 O 2.03-2.24, 1 F 2.04
4 Li 0.5792 0.2048 0.1991  5 O 2.02-2.24, 1 F 2.07
5 Li 0.7814 0.6048 0.6003  6 O 2.04-2.17
6 Ni 0.1830 0.9016 0.3967  6 O 1.92-2.13
7 Ni 0.3728 0.3047 0.7961  5 O 1.88-2.03
8 Ni 0.5879 0.7038 0.1924  5 O 1.90-2.08
9 Ni 0.7809 0.1014 0.5896  5 O 1.89-2.08
10 Ni 0.9893 0.5120 0.9939  5 O 2.02-2.10, 1 F 2.14
11 O 0.0559 0.4277 0.6896  3 Ni 1.89-2.07, 2 Li 2.04-2.09
12 O 0.0769 0.9806 0.6975  3 Ni 1.92-2.13, 2 Li 2.08-2.14
13 O 0.3026 0.3683 0.0822  3 Ni 1.95-2.06, 2 Li 2.05-2.12
14 O 0.3093 0.8469 0.1082  3 Ni 1.90-2.09, 3 Li 2.02-2.12
15 O 0.4778 0.2319 0.5188  3 Ni 1.93-1.98, 1 Li 2.14
16 O 0.4788 0.7782 0.4954  3 Ni 1.92-2.15, 2 Li 2.12-2.13
17 O 0.6625 0.6228 0.8883  3 Ni 1.88-2.08, 2 Li 2.03-2.08
18 O 0.8793 0.5752 0.2896  3 Ni 1.92-2.10, 2 Li 2.12-2.13
19 O 0.8924 0.0295 0.2979  3 Ni 1.92-2.08, 2 Li 2.11-2.12
20 F 0.6840 0.1407 0.9069  3 Li 2.04-2.07, 3 Ni 2.14-2.21